CaAuS PBE-GGA relaxed; VASP energy = -49.8 eV for the cell shown; M_tot = 0.00 μB per atom
1.0
10.554 0.000 0.000
0.000 5.228 0.000
0.000 0.000 5.246
Ca Au S
4 4 4
Direct
0.137 0.250 0.134
0.363 0.750 0.634
0.637 0.250 0.366
0.863 0.750 0.866
0.092 0.750 0.447
0.408 0.250 0.947
0.592 0.750 0.053
0.908 0.250 0.553
0.125 0.750 0.937
0.375 0.250 0.437
0.625 0.750 0.563
0.875 0.250 0.063

CaAuS3 PBE-GGA relaxed; VASP energy = -15.2 eV for the cell shown; ΔE to the lowest computed polymorph = 0.785 eV per atom; M_tot = 0.60 μB per atom
1.0
5.265 0.000 0.000
0.000 5.265 0.000
0.000 0.000 5.265
Ca Au S
1 1 3
Direct
0.000 0.000 0.000
0.500 0.500 0.500
0.000 0.000 0.500
0.000 0.500 0.000
0.500 0.000 0.000

Ca2AuS PBE-GGA relaxed; VASP energy = -16.7 eV for the cell shown; M_tot = 0.00 μB per atom
1.0
2.055 1.187 6.996
-2.055 1.187 6.996
0.000 -2.373 6.996
Ca Au S
2 1 1
Direct
0.245 0.245 0.245
0.755 0.755 0.755
0.000 0.000 0.000
0.500 0.500 0.500

Ca2AuS PBE-GGA relaxed; VASP energy = -16.5 eV for the cell shown; M_tot = 0.00 μB per atom
1.0
2.030 1.172 7.218
-2.030 1.172 7.218
0.000 -2.344 7.218
Ca Au S
2 1 1
Direct
0.000 0.000 0.000
0.160 0.160 0.160
0.580 0.580 0.580
0.414 0.414 0.414

CaScAuS2 PBE-GGA relaxed; VASP energy = -20.1 eV for the cell shown; M_tot = 0.28 μB per atom
1.0
5.152 0.000 0.000
0.000 5.152 0.000
0.000 0.000 4.937
Ca Sc Au S
1 1 1 2
Direct
0.000 0.000 0.000
0.500 0.500 0.000
0.500 0.500 0.500
0.000 0.500 0.500
0.500 0.000 0.500

CaZrAuS2 PBE-GGA relaxed; VASP energy = -21.6 eV for the cell shown; M_tot = 0.20 μB per atom
1.0
5.022 0.000 0.000
0.000 5.022 0.000
0.000 0.000 5.103
Ca Zr Au S
1 1 1 2
Direct
0.000 0.000 0.000
0.500 0.500 0.500
0.000 0.000 0.500
0.000 0.500 0.000
0.500 0.000 0.000

CaSbAu5 PBE-GGA relaxed; VASP energy = -99.5 eV for the cell shown; M_tot = 0.00 μB per atom
1.0
9.518 0.000 0.000
0.000 5.682 0.000
0.000 0.000 11.204
Ca Sb Au
4 4 20
Direct
0.244 0.250 0.052
0.256 0.750 0.552
0.744 0.250 0.448
0.756 0.750 0.948
0.126 0.250 0.344
0.374 0.750 0.844
0.626 0.250 0.156
0.874 0.750 0.656
0.075 0.750 0.024
0.098 0.505 0.804
0.098 0.995 0.804
0.104 0.250 0.581
0.149 0.750 0.274
0.351 0.250 0.774
0.396 0.750 0.081
0.402 0.005 0.304
0.402 0.495 0.304
0.425 0.250 0.524
0.575 0.750 0.476
0.598 0.505 0.696
0.598 0.995 0.696
0.604 0.250 0.919
0.649 0.750 0.226
0.851 0.250 0.726
0.896 0.750 0.419
0.902 0.005 0.196
0.902 0.495 0.196
0.925 0.250 0.976

Ca3Sb5Au6 PBE-GGA relaxed; VASP energy = -107.0 eV for the cell shown; M_tot = 0.00 μB per atom
1.0
4.534 0.000 0.000
0.000 13.488 0.000
0.000 0.000 11.034
Ca Sb Au
6 10 12
Direct
0.250 0.067 0.246
0.250 0.433 0.246
0.250 0.750 0.242
0.750 0.250 0.758
0.750 0.567 0.754
0.750 0.933 0.754
0.250 0.087 0.876
0.250 0.413 0.876
0.250 0.612 0.519
0.250 0.750 0.782
0.250 0.888 0.519
0.750 0.112 0.481
0.750 0.250 0.218
0.750 0.388 0.481
0.750 0.587 0.124
0.750 0.913 0.124
0.250 0.081 0.633
0.250 0.250 0.052
0.250 0.250 0.455
0.250 0.419 0.633
0.250 0.608 0.976
0.250 0.892 0.976
0.750 0.108 0.024
0.750 0.392 0.024
0.750 0.581 0.367
0.750 0.750 0.545
0.750 0.750 0.948
0.750 0.919 0.367

Please write out number 5 again, unchanged.
CaScAuS2 PBE-GGA relaxed; VASP energy = -20.1 eV for the cell shown; M_tot = 0.28 μB per atom
1.0
5.152 0.000 0.000
0.000 5.152 0.000
0.000 0.000 4.937
Ca Sc Au S
1 1 1 2
Direct
0.000 0.000 0.000
0.500 0.500 0.000
0.500 0.500 0.500
0.000 0.500 0.500
0.500 0.000 0.500